Entry from Alexandria: a geometry-optimized RbAgCl3 structure (PBE).

Structure (extended XYZ):
```
5
Lattice="6.009 0.000 0.000 0.000 6.009 0.000 0.000 0.000 6.009" Properties=species:S:1:pos:R:3 pbc="T T T"
Rb 0.000 0.000 0.000
Ag 3.005 3.005 3.005
Cl 0.000 3.005 0.000
Cl 0.000 0.000 3.005
Cl 3.005 0.000 0.000
```

Output
- size of the total moment (μB per formula unit) = 0.000
- final energy (eV per atom) = -2.06



Entry from Alexandria: a geometry-optimized Ca2H4Pd structure (PBE).

Structure (extended XYZ):
```
7
Lattice="-0.292 3.082 1.725 -2.258 1.169 -2.469 -3.999 -4.655 3.998" Properties=species:S:1:pos:R:3 pbc="T T T"
Ca -2.866 1.362 0.722
Ca -3.683 -1.766 2.533
H -1.284 -0.616 0.883
H -5.265 0.211 2.372
H -3.766 -0.680 0.579
H -2.783 0.276 2.676
Pd 0.000 0.000 0.000
```

Output
- size of the total moment (μB per formula unit) = 0.000
- final energy (eV per atom) = -3.80